Density functional theory data (PBE-GGA) for Cr2Co5Ni4 after structural relaxation.

## Properties
**Crystal system**: monoclinic
**Space group**: No. 12
**Energy of formation**: 0.0513 eV/atom

a = 6.6279 Å, b = 6.6279 Å, c = 5.6014 Å
α = 104.97°, β = 104.97°, γ = 30.54°
Fractional positions:
1 Cr 0.0963 0.0963 0.4485
2 Cr 0.9037 0.9037 0.5515
3 Co 0.0000 0.0000 0.0000
4 Co 0.2736 0.2736 0.3708
5 Co 0.3660 0.3660 0.8205
6 Co 0.6340 0.6340 0.1795
7 Co 0.7264 0.7264 0.6292
8 Ni 0.1833 0.1833 0.9078
9 Ni 0.4545 0.4545 0.2727
10 Ni 0.5455 0.5455 0.7273
11 Ni 0.8167 0.8167 0.0922



Density functional theory data (PBE-GGA) for Ce2PN after structural relaxation.

## Properties
**Crystal system**: tetragonal
**Offset from the most stable computed form**: 136 meV per atom
**Space group**: No. 129

a = 4.4444 Å, b = 4.4444 Å, c = 8.6899 Å
α = 90.00°, β = 90.00°, γ = 90.00°
Fractional positions:
1 Ce 0.2500 0.2500 0.1458
2 Ce 0.2500 0.7500 0.5000
3 Ce 0.7500 0.2500 0.5000
4 Ce 0.7500 0.7500 0.8542
5 P 0.2500 0.2500 0.7988
6 P 0.7500 0.7500 0.2012
7 N 0.2500 0.2500 0.3988
8 N 0.7500 0.7500 0.6012



Density functional theory data (PBE-GGA) for Ca2ZnCuHg after structural relaxation.

## Properties
**Crystal system**: tetragonal
**Space group**: No. 123
**Energy of formation**: -0.1227 eV/atom

a = 5.5151 Å, b = 5.5151 Å, c = 4.5794 Å
α = 90.00°, β = 90.00°, γ = 90.00°
Fractional positions:
1 Ca 0.0000 0.5000 0.0000
2 Ca 0.5000 0.0000 0.0000
3 Zn 0.0000 0.0000 0.5000
4 Cu 0.0000 0.0000 0.0000
5 Hg 0.5000 0.5000 0.5000



Density functional theory data (PBE-GGA) for TmNp2S5 after structural relaxation.

## Properties
**Crystal system**: orthorhombic
**Total DFT energy (no corrections)**: -7.93 eV/atom
**Space group**: No. 62

a = 11.6122 Å, b = 7.8743 Å, c = 7.3141 Å
α = 90.00°, β = 90.00°, γ = 90.00°
Fractional positions:
1 Tm 0.0065 0.2500 0.0744
2 Tm 0.4935 0.7500 0.5744
3 Tm 0.5065 0.2500 0.4256
4 Tm 0.9935 0.7500 0.9256
5 Np 0.1802 0.0007 0.5170
6 Np 0.1802 0.4993 0.5170
7 Np 0.3198 0.5007 0.0170
8 Np 0.3198 0.9993 0.0170
9 Np 0.6802 0.0007 0.9830
10 Np 0.6802 0.4993 0.9830
11 Np 0.8198 0.5007 0.4830
12 Np 0.8198 0.9993 0.4830
13 S 0.0006 0.2500 0.4639
14 S 0.1018 0.5403 0.1635
15 S 0.1018 0.9597 0.1635
16 S 0.1876 0.2500 0.8260
17 S 0.2150 0.7500 0.7999
18 S 0.2850 0.2500 0.2999
19 S 0.3124 0.7500 0.3260
20 S 0.3982 0.0403 0.6635
21 S 0.3982 0.4597 0.6635
22 S 0.4994 0.7500 0.9639
23 S 0.5006 0.2500 0.0361
24 S 0.6018 0.5403 0.3365
25 S 0.6018 0.9597 0.3365
26 S 0.6876 0.2500 0.6740
27 S 0.7150 0.7500 0.7001
28 S 0.7850 0.2500 0.2001
29 S 0.8124 0.7500 0.1740
30 S 0.8982 0.0403 0.8365
31 S 0.8982 0.4597 0.8365
32 S 0.9994 0.7500 0.5361



Density functional theory data (PBE-GGA) for Rb2InI3 after structural relaxation.

## Properties
**Crystal system**: monoclinic
**Offset from the most stable computed form**: 0 meV per atom
**Space group**: No. 12

a = 8.9920 Å, b = 8.9920 Å, c = 8.9774 Å
α = 99.60°, β = 99.60°, γ = 120.07°
Fractional positions:
1 Rb 0.0000 0.0000 0.0000
2 Rb 0.1655 0.8345 0.5000
3 Rb 0.5000 0.5000 0.5000
4 Rb 0.8345 0.1655 0.5000
5 In 0.3327 0.6673 0.0000
6 In 0.6673 0.3327 0.0000
7 I 0.0800 0.4218 0.2398
8 I 0.2617 0.2617 0.7596
9 I 0.4218 0.0800 0.2398
10 I 0.5782 0.9200 0.7602
11 I 0.7383 0.7383 0.2404
12 I 0.9200 0.5782 0.7602



Density functional theory data (PBE-GGA) for HfTaTi2N after structural relaxation.

## Properties
**Crystal system**: tetragonal
**Offset from the most stable computed form**: 40 meV per atom
**Space group**: No. 123

a = 4.2263 Å, b = 4.2263 Å, c = 4.3588 Å
α = 90.00°, β = 90.00°, γ = 90.00°
Fractional positions:
1 Hf 0.0000 0.0000 0.0000
2 Ta 0.5000 0.5000 0.0000
3 Ti 0.0000 0.5000 0.5000
4 Ti 0.5000 0.0000 0.5000
5 N 0.5000 0.5000 0.5000



Density functional theory data (PBE-GGA) for PrErMgAl after structural relaxation.

## Properties
**Crystal system**: cubic
**Space group**: No. 216
**Energy of formation**: -0.2543 eV/atom

a = 5.2807 Å, b = 5.2807 Å, c = 5.2807 Å
α = 60.00°, β = 60.00°, γ = 60.00°
Fractional positions:
1 Pr 0.0000 0.0000 0.0000
2 Er 0.5000 0.5000 0.5000
3 Mg 0.2500 0.2500 0.2500
4 Al 0.7500 0.7500 0.7500



Density functional theory data (PBE-GGA) for Hf2VOs after structural relaxation.

## Properties
**Crystal system**: tetragonal
**Space group**: No. 123
**Energy of formation**: -0.3182 eV/atom

a = 4.6462 Å, b = 4.6462 Å, c = 3.2690 Å
α = 90.00°, β = 90.00°, γ = 90.00°
Fractional positions:
1 Hf 0.0000 0.5000 0.0000
2 Hf 0.5000 0.0000 0.0000
3 V 0.0000 0.0000 0.5000
4 Os 0.5000 0.5000 0.5000



Density functional theory data (PBE-GGA) for Fe3PdRh2 after structural relaxation.

## Properties
**Crystal system**: tetragonal
**Space group**: No. 123
**Energy of formation**: -0.0207 eV/atom

a = 2.7229 Å, b = 2.7229 Å, c = 10.9406 Å
α = 90.00°, β = 90.00°, γ = 90.00°
Fractional positions:
1 Fe 0.0000 0.0000 0.0000
2 Fe 0.0000 0.0000 0.3282
3 Fe 0.0000 0.0000 0.6718
4 Pd 0.5000 0.5000 0.5000
5 Rh 0.5000 0.5000 0.1631
6 Rh 0.5000 0.5000 0.8369



Density functional theory data (PBE-GGA) for InSnHgSe4 after structural relaxation.

## Properties
**Crystal system**: orthorhombic
**Total DFT energy (no corrections)**: -3.34 eV/atom
**Space group**: No. 74

a = 8.3091 Å, b = 8.3091 Å, c = 8.3091 Å
α = 121.45°, β = 119.86°, γ = 88.87°
Fractional positions:
1 In 0.0000 0.0000 0.0000
2 In 0.5000 0.0000 0.5000
3 Sn 0.5000 0.0000 0.0000
4 Sn 0.5000 0.5000 0.5000
5 Hg 0.1227 0.3727 0.7500
6 Hg 0.8773 0.6273 0.2500
7 Se 0.2471 0.2362 0.0109
8 Se 0.2592 0.2398 0.4806
9 Se 0.2592 0.7786 0.0194
10 Se 0.2747 0.7638 0.5109
11 Se 0.7253 0.2362 0.4891
12 Se 0.7408 0.2214 0.9806
13 Se 0.7408 0.7602 0.5194
14 Se 0.7529 0.7638 0.9891



Density functional theory data (PBE-GGA) for LiNi4Mo after structural relaxation.

## Properties
**Crystal system**: monoclinic
**Offset from the most stable computed form**: 64 meV per atom
**Space group**: No. 12
**Energy of formation**: 0.0828 eV/atom

a = 8.3037 Å, b = 8.3037 Å, c = 4.1765 Å
α = 104.54°, β = 104.54°, γ = 136.76°
Fractional positions:
1 Li 0.1639 0.1639 0.4140
2 Li 0.8361 0.8361 0.5860
3 Ni 0.0249 0.3399 0.4328
4 Ni 0.2569 0.4263 0.0916
5 Ni 0.3399 0.0249 0.4328
6 Ni 0.4263 0.2569 0.0916
7 Ni 0.5737 0.7431 0.9084
8 Ni 0.6601 0.9751 0.5672
9 Ni 0.7431 0.5737 0.9084
10 Ni 0.9751 0.6601 0.5672
11 Mo 0.0000 0.5000 0.0000
12 Mo 0.5000 0.0000 0.0000



Density functional theory data (PBE-GGA) for Li3CuPd after structural relaxation.

## Properties
**Crystal system**: monoclinic
**Offset from the most stable computed form**: 58 meV per atom
**Space group**: No. 12
**Energy of formation**: -0.1526 eV/atom

a = 5.0993 Å, b = 5.0993 Å, c = 6.7025 Å
α = 91.04°, β = 91.04°, γ = 63.59°
Fractional positions:
1 Li 0.0000 0.0000 0.0000
2 Li 0.2483 0.2483 0.3102
3 Li 0.2497 0.7503 0.5000
4 Li 0.5000 0.5000 0.0000
5 Li 0.7503 0.2497 0.5000
6 Li 0.7517 0.7517 0.6898
7 Cu 0.0000 0.5000 0.0000
8 Cu 0.5000 0.0000 0.0000
9 Pd 0.2532 0.2532 0.6808
10 Pd 0.7468 0.7468 0.3192



Density functional theory data (PBE-GGA) for Ba3AgSe after structural relaxation.

## Properties
**Crystal system**: cubic
**Offset from the most stable computed form**: 0 meV per atom
**Space group**: No. 221

a = 6.2839 Å, b = 6.2839 Å, c = 6.2839 Å
α = 90.00°, β = 90.00°, γ = 90.00°
Fractional positions:
1 Ba 0.0000 0.0000 0.5000
2 Ba 0.0000 0.5000 0.0000
3 Ba 0.5000 0.0000 0.0000
4 Ag 0.5000 0.5000 0.5000
5 Se 0.0000 0.0000 0.0000



Density functional theory data (PBE-GGA) for SrTa2Cd after structural relaxation.

## Properties
**Crystal system**: monoclinic
**Space group**: No. 12
**Energy of formation**: 0.7853 eV/atom

a = 6.3251 Å, b = 6.3251 Å, c = 2.8747 Å
α = 100.32°, β = 100.32°, γ = 122.69°
Fractional positions:
1 Sr 0.0000 0.0000 0.0000
2 Ta 0.0000 0.5000 0.5000
3 Ta 0.5000 0.0000 0.5000
4 Cd 0.5000 0.5000 0.0000



Density functional theory data (PBE-GGA) for Sr3DyTh2As6 after structural relaxation.

## Properties
**Crystal system**: monoclinic
**Space group**: No. 12
**Energy of formation**: -1.2989 eV/atom

a = 7.5022 Å, b = 7.5022 Å, c = 7.6296 Å
α = 99.43°, β = 99.43°, γ = 120.03°
Fractional positions:
1 Sr 0.0000 0.0000 0.0000
2 Sr 0.3333 0.6667 0.0000
3 Sr 0.6667 0.3333 0.0000
4 Dy 0.5000 0.5000 0.5000
5 Th 0.1666 0.8334 0.5000
6 Th 0.8334 0.1666 0.5000
7 As 0.0934 0.4247 0.2739
8 As 0.2441 0.2441 0.7265
9 As 0.4247 0.0934 0.2739
10 As 0.5753 0.9066 0.7261
11 As 0.7559 0.7559 0.2735
12 As 0.9066 0.5753 0.7261



Density functional theory data (PBE-GGA) for Pm4Dy6Ho19 after structural relaxation.

## Properties
**Crystal system**: cubic
**Space group**: No. 197
**Energy of formation**: 0.3908 eV/atom

a = 10.7588 Å, b = 10.7588 Å, c = 10.7588 Å
α = 109.47°, β = 109.47°, γ = 109.47°
Fractional positions:
1 Pm 0.0000 0.0000 0.3594
2 Pm 0.0000 0.3594 0.0000
3 Pm 0.3594 0.0000 0.0000
4 Pm 0.6406 0.6406 0.6406
5 Dy 0.1262 0.5000 0.6262
6 Dy 0.3738 0.8738 0.5000
7 Dy 0.5000 0.3738 0.8738
8 Dy 0.5000 0.6262 0.1262
9 Dy 0.6262 0.1262 0.5000
10 Dy 0.8738 0.5000 0.3738
11 Ho 0.0000 0.0000 0.0000
12 Ho 0.0000 0.2610 0.2610
13 Ho 0.0000 0.7390 0.7390
14 Ho 0.0144 0.2153 0.6748
15 Ho 0.2009 0.9856 0.6604
16 Ho 0.2153 0.6748 0.0144
17 Ho 0.2610 0.0000 0.2610
18 Ho 0.2610 0.2610 0.0000
19 Ho 0.3252 0.5405 0.3396
20 Ho 0.3396 0.3252 0.5405
21 Ho 0.4595 0.7847 0.7991
22 Ho 0.5405 0.3396 0.3252
23 Ho 0.6604 0.2009 0.9856
24 Ho 0.6748 0.0144 0.2153
25 Ho 0.7390 0.0000 0.7390
26 Ho 0.7390 0.7390 0.0000
27 Ho 0.7847 0.7991 0.4595
28 Ho 0.7991 0.4595 0.7847
29 Ho 0.9856 0.6604 0.2009



Density functional theory data (PBE-GGA) for LaSm3Cu4 after structural relaxation.

## Properties
**Crystal system**: orthorhombic
**Space group**: No. 51
**Energy of formation**: -0.1640 eV/atom

a = 10.1365 Å, b = 7.1086 Å, c = 5.0657 Å
α = 90.00°, β = 90.00°, γ = 90.00°
Fractional positions:
1 La 0.0000 0.0000 0.0000
2 La 0.5000 0.0000 0.0000
3 Sm 0.0000 0.5000 0.0000
4 Sm 0.2500 0.0000 0.4982
5 Sm 0.2500 0.5000 0.4983
6 Sm 0.5000 0.5000 0.0000
7 Sm 0.7500 0.0000 0.5018
8 Sm 0.7500 0.5000 0.5017
9 Cu 0.0000 0.2593 0.5000
10 Cu 0.0000 0.7407 0.5000
11 Cu 0.2500 0.2581 0.9960
12 Cu 0.2500 0.7419 0.9960
13 Cu 0.5000 0.2593 0.5000
14 Cu 0.5000 0.7407 0.5000
15 Cu 0.7500 0.2581 0.0040
16 Cu 0.7500 0.7419 0.0040



Density functional theory data (PBE-GGA) for Ti2Au2Se after structural relaxation.

## Properties
**Crystal system**: tetragonal
**Offset from the most stable computed form**: 0 meV per atom
**Space group**: No. 127

a = 6.6952 Å, b = 6.6952 Å, c = 4.1184 Å
α = 90.00°, β = 90.00°, γ = 90.00°
Fractional positions:
1 Ti 0.1571 0.3429 0.0000
2 Ti 0.3429 0.8429 0.0000
3 Ti 0.6571 0.1571 0.0000
4 Ti 0.8429 0.6571 0.0000
5 Au 0.1442 0.6442 0.5000
6 Au 0.3558 0.1442 0.5000
7 Au 0.6442 0.8558 0.5000
8 Au 0.8558 0.3558 0.5000
9 Se 0.0000 0.0000 0.0000
10 Se 0.5000 0.5000 0.0000



Density functional theory data (PBE-GGA) for NaPaTe2 after structural relaxation.

## Properties
**Crystal system**: monoclinic
**Total DFT energy (no corrections)**: -5.10 eV/atom
**Space group**: No. 15

a = 9.8314 Å, b = 9.8314 Å, c = 7.5483 Å
α = 104.52°, β = 104.52°, γ = 124.95°
Fractional positions:
1 Na 0.0620 0.9380 0.7500
2 Na 0.1845 0.8155 0.2500
3 Na 0.8155 0.1845 0.7500
4 Na 0.9380 0.0620 0.2500
5 Pa 0.3144 0.6856 0.7500
6 Pa 0.4357 0.5643 0.2500
7 Pa 0.5643 0.4357 0.7500
8 Pa 0.6856 0.3144 0.2500
9 Te 0.0638 0.4413 0.2569
10 Te 0.1979 0.3202 0.7572
11 Te 0.3202 0.1979 0.2572
12 Te 0.4413 0.0638 0.7569
13 Te 0.5587 0.9362 0.2431
14 Te 0.6798 0.8021 0.7428
15 Te 0.8021 0.6798 0.2428
16 Te 0.9362 0.5587 0.7431



Density functional theory data (PBE-GGA) for IrS3F after structural relaxation.

## Properties
**Crystal system**: cubic
**Offset from the most stable computed form**: 0 meV per atom
**Space group**: No. 221

a = 4.5936 Å, b = 4.5936 Å, c = 4.5936 Å
α = 90.00°, β = 90.00°, γ = 90.00°
Fractional positions:
1 Ir 0.0000 0.0000 0.0000
2 S 0.0000 0.0000 0.5000
3 S 0.0000 0.5000 0.0000
4 S 0.5000 0.0000 0.0000
5 F 0.5000 0.5000 0.5000